## Li4Nb3Ni3Sn2O16 (meta-GGA SCAN)

Data for a PBEsol-optimized structure of Li4Nb3Ni3Sn2O16.

Values from the calculation:
formation energy (no corrections) = -2.08 eV per atom
V = 300.7 Å³ per cell
size of the total moment = 4.841 Bohr magnetons per cell
space group = Cm (8)

```
28
Lattice="5.138 -2.991 0.000 5.138 2.991 0.000 -0.086 0.000 9.785" Properties=species:S:1:pos:R:3 pbc="T T T"
Li 0.000 0.000 0.000
Li 2.463 0.000 0.878
Li 5.681 0.000 5.448
Li 9.157 0.000 4.528
Nb 3.006 1.469 7.403
Nb 3.006 -1.469 7.403
Nb 7.365 0.000 2.303
Ni 0.730 0.000 7.163
Ni 4.946 1.465 2.451
Ni 4.946 -1.465 2.451
Sn 2.232 0.000 4.486
Sn 5.399 0.000 9.518
O 3.123 1.547 3.500
O 0.478 0.000 3.537
O 4.851 1.618 8.343
O 2.865 0.000 8.755
O 3.779 0.000 6.138
O 6.684 1.632 6.015
O 6.525 1.368 1.041
O 4.247 0.000 1.344
O 3.123 -1.547 3.500
O 5.820 0.000 3.543
O 7.215 0.000 8.353
O 4.851 -1.618 8.343
O 6.525 -1.368 1.041
O 8.992 0.000 6.377
O 9.159 0.000 1.484
O 6.684 -1.632 6.015
```